An optimized crystal structure of PrZn3Sb3. Source: Alexandria, functional GGA-PBE.

Cell and atoms, written as POSCAR:
```
PrZn3Sb3
1.0
-1.6392 -1.0764 3.8330
-1.8267 -9.3512 -3.4072
8.8599 2.1434 4.3908
Sb Pr Zn
6 2 6
Direct
0.2500 0.2576 0.8968
0.2500 0.6393 0.7425
0.7500 0.7424 0.1032
0.2500 0.1032 0.3607
0.7500 0.3607 0.2575
0.7500 0.8968 0.6393
0.7500 0.3333 0.6667
0.2500 0.6667 0.3333
0.7500 0.5987 0.5579
0.7500 0.4420 0.0407
0.2500 0.0407 0.5987
0.7500 0.9593 0.4013
0.2500 0.5580 0.9593
0.2500 0.4013 0.4421
```

Properties
N(E_F), states/eV per cell: 1.41
Space group: No. 176
Raw formation energy, eV/atom: -0.31
V, A^3/atom: 27.268

An optimized crystal structure of TlCuSe. Source: Alexandria, functional GGA-PBE.

Cell and atoms, written as POSCAR:
```
TlCuSe
1.0
-2.1060 3.1105 -1.5842
-3.5244 -4.0346 1.9423
1.0022 3.7956 6.1866
Tl Cu Se
2 2 2
Direct
0.9398 0.8623 0.6835
0.4407 0.8638 0.1840
0.2128 0.4062 0.7831
0.6685 0.3181 0.5864
0.1802 0.3435 0.4201
0.7019 0.3828 0.9492
```

Properties
N(E_F), states/eV per cell: 0.72
Space group: No. 1
Raw formation energy, eV/atom: -0.19
V, A^3/atom: 26.126

An optimized crystal structure of ScAsS3. Source: Alexandria, functional GGA-PBE.

Cell and atoms, written as POSCAR:
```
ScAsS3
1.0
3.7260 0.0000 0.0000
0.0000 7.0737 -0.5480
-1.8630 -0.7132 7.7785
As S Sc
2 6 2
Direct
0.4408 0.2899 0.8816
0.5592 0.7101 0.1184
0.9709 0.7742 0.9419
0.1880 0.6091 0.3761
0.3379 0.0104 0.6758
0.6621 0.9896 0.3242
0.0291 0.2258 0.0581
0.8120 0.3909 0.6239
0.2065 0.2465 0.4129
0.7935 0.7535 0.5871
```

Properties
Space group: No. 12
Raw formation energy, eV/atom: -0.87
V, A^3/atom: 20.356

An optimized crystal structure of Co4RhSe. Source: Alexandria, functional GGA-PBE.

Cell and atoms, written as POSCAR:
```
Co4RhSe
1.0
3.3104 0.9758 3.3479
-1.0536 2.9750 3.6275
-0.5067 -1.7293 4.4578
Co Se Rh
4 1 1
Direct
0.3754 0.3754 0.3754
0.3754 0.3754 0.8738
0.3754 0.8738 0.3754
0.8738 0.3754 0.3754
0.0000 0.0000 0.0000
0.7500 0.7500 0.7500
```

Properties
N(E_F), states/eV per cell: 6.96
Space group: No. 216
Raw formation energy, eV/atom: 0.33
V, A^3/atom: 13.101

An optimized crystal structure of Li12MgGa6. Source: Alexandria, functional GGA-PBE.

Cell and atoms, written as POSCAR:
```
Li12MgGa6
1.0
-4.2046 -4.7021 2.7801
2.9753 0.6653 6.1824
-4.5221 4.8410 1.9059
Li Ga Mg
12 6 1
Direct
0.4195 0.5217 0.8081
0.9736 0.6127 0.8426
0.4783 0.1919 0.5805
0.3873 0.1574 0.0264
0.5805 0.4783 0.1919
0.1919 0.5805 0.4783
0.8081 0.4195 0.5217
0.0264 0.3873 0.1574
0.6127 0.8426 0.9736
0.1574 0.0264 0.3873
0.5217 0.8081 0.4195
0.8426 0.9736 0.6127
0.2656 0.7246 0.1181
0.7246 0.1181 0.2656
0.1181 0.2656 0.7246
0.2754 0.8819 0.7344
0.7344 0.2754 0.8819
0.8819 0.7344 0.2754
0.0000 0.0000 0.0000
```

Properties
Energy of formation from the pure elements, eV per atom: -0.2295
N(E_F), states/eV per cell: 4.68
Space group: No. 148
V, A^3/atom: 17.212

An optimized crystal structure of La2Al. Source: Alexandria, functional GGA-PBE.

Cell and atoms, written as POSCAR:
```
La2Al
1.0
7.1880 0.0575 -0.0013
6.2169 3.6084 -0.0013
1.7520 0.4791 7.1323
La Al
4 2
Direct
0.0215 0.0215 0.0167
0.9733 0.9733 0.5770
0.2563 0.2563 0.9277
0.3045 0.3045 0.3675
0.6288 0.6288 0.2820
0.6490 0.6490 0.6625
```

Properties
Energy of formation from the pure elements, eV per atom: -0.2284
N(E_F), states/eV per cell: 6.15
Space group: No. 12
V, A^3/atom: 30.408

An optimized crystal structure of V2SiNi4. Source: Alexandria, functional GGA-PBE.

Cell and atoms, written as POSCAR:
```
V2SiNi4
1.0
-1.2815 3.6617 -1.4790
0.6725 -1.3298 -3.8752
-5.9422 -0.9140 -2.9417
V Ni Si
2 4 1
Direct
0.6268 0.6268 0.7463
0.3732 0.3732 0.2537
0.5000 0.0000 0.0000
0.0000 0.5000 0.0000
0.1856 0.1856 0.6289
0.8144 0.8144 0.3711
0.0000 0.0000 0.0000
```

Properties
N(E_F), states/eV per cell: 9.94
Space group: No. 139
Raw formation energy, eV/atom: 0.59
V, A^3/atom: 14.812

An optimized crystal structure of Pm2PdRh. Source: Alexandria, functional GGA-PBE.

Cell and atoms, written as POSCAR:
```
Pm2PdRh
1.0
-0.0995 -3.3942 -1.0531
0.8002 -1.0478 3.3017
-6.9564 -0.2906 1.5937
Pm Rh Pd
2 1 1
Direct
0.0000 0.0000 0.2408
0.0000 0.0000 0.7592
0.5000 0.5000 0.0000
0.5000 0.5000 0.5000
```

Properties
Energy of formation from the pure elements, eV per atom: -0.7485
N(E_F), states/eV per cell: 2.48
Space group: No. 123
V, A^3/atom: 22.569